A plane-wave DFT calculation with GGA-PBE was carried out for MnTl2Au after structural relaxation.

Results
space group	No. 166

The structure in POSCAR format:
```
MnTl2Au
1.0
1.734 1.001 8.782
-1.734 1.001 8.782
0.000 -2.002 8.782
Mn Tl Au
1 2 1
Cartesian
0.000 0.000 0.000 Mn
0.000 0.000 6.578 Tl
0.000 0.000 19.769 Tl
0.000 0.000 13.173 Au
```

***

A plane-wave DFT calculation with GGA-PBE was carried out for GaSb2Se2 after structural relaxation.

Results
space group	No. 139
formation energy (no corrections)	1.06	kJ per mole of atoms

The structure in POSCAR format:
```
GaSb2Se2
1.0
-2.850 2.850 4.477
2.850 -2.850 4.477
2.850 2.850 -4.477
Ga Sb Se
1 2 2
Cartesian
0.000 0.000 0.000 Ga
0.000 0.000 2.875 Sb
0.000 0.000 6.080 Sb
2.850 0.000 2.239 Se
0.000 2.850 2.239 Se
```

***

A plane-wave DFT calculation with GGA-PBE was carried out for Ho5Er2Th2 after structural relaxation.

Results
space group	No. 12

The structure in POSCAR format:
```
Ho5Er2Th2
1.0
11.342 -1.733 0.000
11.342 1.733 0.000
-1.586 0.000 7.966
Ho Er Th
5 2 2
Cartesian
0.000 0.000 0.000 Ho
0.901 0.000 5.836 Ho
6.234 0.000 3.549 Ho
14.864 0.000 4.417 Ho
20.197 0.000 2.130 Ho
3.430 0.000 1.399 Er
17.669 0.000 6.567 Er
9.136 0.000 5.123 Th
11.962 0.000 2.843 Th
```

***

A plane-wave DFT calculation with GGA-PBE was carried out for RbCdP3 after structural relaxation.

Results
space group	No. 221

The structure in POSCAR format:
```
RbCdP3
1.0
5.476 0.000 0.000
0.000 5.476 0.000
0.000 0.000 5.476
Rb Cd P
1 1 3
Cartesian
0.000 0.000 0.000 Rb
2.738 2.738 2.738 Cd
0.000 0.000 2.738 P
0.000 2.738 0.000 P
2.738 0.000 0.000 P
```

***

A plane-wave DFT calculation with GGA-PBE was carried out for V4GaRe after structural relaxation.

Results
space group	No. 36

The structure in POSCAR format:
```
V4GaRe
1.0
2.080 -8.772 0.000
2.080 8.772 0.000
0.000 0.000 5.099
V Ga Re
8 2 2
Cartesian
2.080 7.651 2.550 V
2.080 5.158 2.174 V
2.080 4.937 4.806 V
2.080 2.398 3.651 V
2.080 -2.398 1.102 V
2.080 -4.937 2.257 V
2.080 -5.158 4.723 V
2.080 -7.651 0.000 V
2.080 2.457 1.086 Ga
2.080 -2.457 3.636 Ga
2.080 7.417 0.121 Re
2.080 -7.417 2.670 Re
```

***

A plane-wave DFT calculation with GGA-PBE was carried out for NaIn4Pt2Rh after structural relaxation.

Results
space group	No. 166

The structure in POSCAR format:
```
NaIn4Pt2Rh
1.0
2.370 1.368 7.670
-2.370 1.368 7.670
0.000 -2.737 7.670
Na In Pt Rh
1 4 2 1
Cartesian
0.000 0.000 0.000 Na
0.000 0.000 3.041 In
0.000 0.000 8.747 In
0.000 0.000 14.263 In
0.000 0.000 19.969 In
0.000 0.000 5.903 Pt
0.000 0.000 17.107 Pt
0.000 0.000 11.505 Rh
```

***

A plane-wave DFT calculation with GGA-PBE was carried out for EuIn2Ag after structural relaxation.

Results
space group	No. 123

The structure in POSCAR format:
```
EuIn2Ag
1.0
3.581 0.000 0.000
0.000 3.581 0.000
0.000 0.000 7.832
Eu In Ag
1 2 1
Cartesian
0.000 0.000 0.000 Eu
1.790 1.790 2.285 In
1.790 1.790 5.548 In
0.000 0.000 3.916 Ag
```

***

A plane-wave DFT calculation with GGA-PBE was carried out for Pr2Al9Co3 after structural relaxation.

Results
space group	No. 15

The structure in POSCAR format:
```
Pr2Al9Co3
1.0
6.525 -3.731 0.000
6.525 3.731 0.000
-4.390 0.000 9.550
Pr Al Co
4 18 6
Cartesian
1.117 0.621 2.385 Pr
-1.078 -0.621 7.160 Pr
9.739 0.621 2.390 Pr
7.544 -0.621 7.165 Pr
5.429 3.110 0.657 Al
5.427 3.110 4.118 Al
1.094 0.613 5.405 Al
4.062 1.378 2.414 Al
1.057 0.633 9.152 Al
3.289 -0.613 0.630 Al
3.233 0.982 7.163 Al
6.794 1.378 2.361 Al
3.252 -0.633 4.376 Al
5.409 0.633 5.174 Al
1.867 -1.378 7.189 Al
5.428 -0.982 2.388 Al
5.372 0.613 8.920 Al
7.604 -0.633 0.399 Al
4.599 -1.378 7.136 Al
7.567 -0.613 4.145 Al
3.234 -3.110 5.432 Al
3.232 -3.110 8.893 Al
3.263 1.865 0.000 Co
3.227 1.899 4.763 Co
7.629 1.899 0.012 Co
1.068 -1.865 4.775 Co
1.032 -1.899 9.538 Co
5.434 -1.899 4.787 Co
```

***

A plane-wave DFT calculation with GGA-PBE was carried out for CaSc2Br after structural relaxation.

Results
space group	No. 47
formation energy (no corrections)	-16.90	kJ per mole of atoms

The structure in POSCAR format:
```
CaSc2Br
1.0
3.531 0.000 0.000
0.000 5.099 0.000
0.000 0.000 6.218
Ca Sc Br
1 2 1
Cartesian
0.000 0.000 0.000 Ca
0.000 2.549 3.109 Sc
1.766 0.000 3.109 Sc
1.766 2.549 0.000 Br
```

***

A plane-wave DFT calculation with GGA-PBE was carried out for Zn after structural relaxation.

Results
space group	No. 217

The structure in POSCAR format:
```
Zn
1.0
-3.889 3.889 3.889
3.889 -3.889 3.889
3.889 3.889 -3.889
Zn
8
Cartesian
0.941 0.941 -0.941 Zn
2.324 2.324 -2.324 Zn
0.941 -0.941 0.941 Zn
2.324 -2.324 2.324 Zn
-0.941 0.941 0.941 Zn
1.564 1.564 1.564 Zn
-2.324 2.324 2.324 Zn
2.948 2.948 2.948 Zn
```

***

A plane-wave DFT calculation with GGA-PBE was carried out for NaZnAg after structural relaxation.

Results
space group	No. 74

The structure in POSCAR format:
```
NaZnAg
1.0
-2.643 2.884 3.927
2.643 -2.884 3.927
2.643 2.884 -3.927
Na Zn Ag
2 2 2
Cartesian
0.000 1.442 0.996 Na
2.643 1.442 2.931 Na
1.322 1.442 -1.964 Zn
1.322 -1.442 1.964 Zn
2.643 0.000 0.000 Ag
0.000 0.000 3.927 Ag
```

***

A plane-wave DFT calculation with GGA-PBE was carried out for SrTiAs2 after structural relaxation.

Results
space group	No. 166

The structure in POSCAR format:
```
SrTiAs2
1.0
1.959 1.131 6.978
-1.959 1.131 6.978
0.000 -2.262 6.978
Sr Ti As
1 1 2
Cartesian
0.000 0.000 0.000 Sr
0.000 0.000 10.468 Ti
0.000 0.000 4.880 As
0.000 0.000 16.055 As
```

***

A plane-wave DFT calculation with GGA-PBE was carried out for LaPtCl after structural relaxation.

Results
space group	No. 107
formation energy (no corrections)	-124.20	kJ per mole of atoms

The structure in POSCAR format:
```
LaPtCl
1.0
-1.886 1.886 5.029
1.886 -1.886 5.029
1.886 1.886 -5.029
La Pt Cl
1 1 1
Cartesian
0.000 0.000 0.000 La
0.000 0.000 3.680 Pt
0.000 0.000 6.837 Cl
```

***

A plane-wave DFT calculation with GGA-PBE was carried out for Ce2HfN after structural relaxation.

Results
space group	No. 166
formation energy (no corrections)	-39.17	kJ per mole of atoms

The structure in POSCAR format:
```
Ce2HfN
1.0
1.647 0.951 9.038
-1.647 0.951 9.038
0.000 -1.902 9.038
Ce Hf N
2 1 1
Cartesian
0.000 0.000 3.025 Ce
0.000 0.000 24.088 Ce
0.000 0.000 0.000 Hf
0.000 0.000 13.557 N
```

***

A plane-wave DFT calculation with GGA-PBE was carried out for LiCeU2N4 after structural relaxation.

Results
space group	No. 63
formation energy (no corrections)	-118.99	kJ per mole of atoms

The structure in POSCAR format:
```
LiCeU2N4
1.0
1.755 -5.621 0.000
1.755 5.621 0.000
0.000 0.000 11.208
Li Ce U N
2 2 4 8
Cartesian
1.755 3.814 8.406 Li
1.755 -3.814 2.802 Li
1.755 4.416 2.802 Ce
1.755 -4.416 8.406 Ce
1.755 1.445 0.654 U
1.755 1.445 4.950 U
1.755 -1.445 6.259 U
1.755 -1.445 10.554 U
0.000 0.000 0.000 N
0.000 0.000 5.604 N
1.755 2.673 6.837 N
1.755 2.673 9.975 N
1.755 0.620 2.802 N
1.755 -0.620 8.406 N
1.755 -2.673 1.233 N
1.755 -2.673 4.371 N
```

***

A plane-wave DFT calculation with GGA-PBE was carried out for RbPu3O9 after structural relaxation.

Results
space group	No. 191
formation energy (no corrections)	-245.55	kJ per mole of atoms

The structure in POSCAR format:
```
RbPu3O9
1.0
7.971 0.000 0.000
-3.986 6.903 0.000
0.000 0.000 4.138
Rb Pu O
1 3 9
Cartesian
0.000 0.000 0.000 Rb
-1.993 3.452 2.069 Pu
3.986 0.000 2.069 Pu
1.993 3.452 2.069 Pu
-1.993 3.452 0.000 O
0.000 2.837 2.069 O
-1.529 5.485 2.069 O
2.457 1.418 2.069 O
3.986 0.000 0.000 O
1.993 3.452 0.000 O
1.529 5.485 2.069 O
5.515 1.418 2.069 O
3.986 4.067 2.069 O
```

***

A plane-wave DFT calculation with GGA-PBE was carried out for CdWSe after structural relaxation.

Results
space group	No. 107
formation energy (no corrections)	22.29	kJ per mole of atoms

The structure in POSCAR format:
```
CdWSe
1.0
-1.546 1.546 6.301
1.546 -1.546 6.301
1.546 1.546 -6.301
Cd W Se
1 1 1
Cartesian
0.000 0.000 0.000 Cd
0.000 0.000 8.303 W
0.000 0.000 3.423 Se
```

***

A plane-wave DFT calculation with GGA-PBE was carried out for PmPuMgO6 after structural relaxation.

Results
space group	No. 163
formation energy (no corrections)	-263.78	kJ per mole of atoms

The structure in POSCAR format:
```
PmPuMgO6
1.0
5.391 0.000 0.000
-2.696 4.669 0.000
0.000 0.000 10.114
Pm Pu Mg O
2 2 2 12
Cartesian
0.000 0.000 0.000 Pm
0.000 0.000 5.057 Pm
0.000 3.113 2.529 Pu
2.696 1.556 7.586 Pu
0.000 3.113 7.586 Mg
2.696 1.556 2.529 Mg
-0.903 1.693 1.418 O
-1.681 3.041 3.639 O
0.903 1.693 3.639 O
-0.778 4.604 1.418 O
1.918 0.065 6.475 O
1.015 1.628 8.696 O
1.681 3.041 1.418 O
0.778 4.604 3.639 O
3.474 0.065 8.696 O
1.793 2.976 6.475 O
4.376 1.628 6.475 O
3.598 2.976 8.696 O
```

***

A plane-wave DFT calculation with GGA-PBE was carried out for ErSi3Ni after structural relaxation.

Results
space group	No. 10
formation energy (no corrections)	-65.73	kJ per mole of atoms

The structure in POSCAR format:
```
ErSi3Ni
1.0
3.909 0.000 0.000
0.000 3.944 0.000
-1.953 0.000 10.495
Er Si Ni
2 6 2
Cartesian
0.001 0.000 3.543 Er
1.955 0.000 6.951 Er
-0.001 1.972 1.177 Si
0.000 1.972 5.924 Si
-0.003 0.000 9.315 Si
1.959 0.000 1.180 Si
1.956 1.972 4.571 Si
1.957 1.972 9.317 Si
0.004 1.972 8.171 Ni
1.952 1.972 2.323 Ni
```

***

The records above yield total moment values of 4.47 0.00 0.00 0.00 0.00 0.00 7.09 0.00 0.00 0.00 0.00 0.00 0.00 0.90 8.91 7.00 0.00 2.00 0.00 Bohr magnetons per cell, respectively.
The records above yield energy values of -0.145 -0.134 -0.180 -0.060 -0.309 -0.159 -0.180 -0.188 -0.157 -0.030 -0.070 -0.208 -0.204 -0.292 -0.338 -0.344 -0.204 -0.306 -0.221 Ha/atom, respectively.